(1)
Compound: Tm8Fe2Rh
Source: Alexandria via LeMat-Bulk
Functional: PBE-GGA
Structure: relaxed

The space group is Cm (No. 8) and the conventional cell measures 8.127, 12.259 and 5.599 Å, with angles of 90.00, 108.18 and 90.00 degrees. Symmetry generates all atoms from Tm at (0.000, 0.000, 0.000), Tm at (0.070, 0.369, 0.787), Tm at (0.161, 0.131, 0.597), Tm at (0.231, 0.500, 0.385), Tm at (0.365, 0.218, 0.192), Fe at (0.366, 0.309, 0.692) and Rh at (0.365, 0.000, 0.202).

The total moment is 0.00 μB per cell. As for the formation enthalpy at 0 K: -143 kJ/mol of formula units. The calculated density comes out at 9.8 Mg/m³. As for the energy: -5.59 eV/atom.

---

(2)
Compound: TmZrFeRh
Source: Alexandria via LeMat-Bulk
Functional: PBE-GGA
Structure: relaxed

The space group is F-43m (No. 216) and the conventional cell measures 6.564, 6.564 and 6.564 Å, with angles of 90.00, 90.00 and 90.00 degrees. Symmetry generates all atoms from Tm at (0.000, 0.000, 0.000), Zr at (0.000, 0.000, 0.500), Fe at (0.250, 0.250, 0.250) and Rh at (0.250, 0.250, 0.750).

The total moment is 0.04 μB per cell. As for the formation enthalpy at 0 K: -168 kJ/mol of formula units. The calculated density comes out at 9.8 Mg/m³. As for the energy: -7.64 eV/atom.

---

(3)
Compound: UFe4Rh
Source: Alexandria via LeMat-Bulk
Functional: PBE-GGA
Structure: relaxed

The space group is F-43m (No. 216) and the conventional cell measures 6.969, 6.969 and 6.969 Å, with angles of 90.00, 90.00 and 90.00 degrees. Symmetry generates all atoms from U at (0.000, 0.000, 0.000), Fe at (0.124, 0.124, 0.624) and Rh at (0.250, 0.250, 0.250).

The total moment is 33.40 μB per cell. As for the formation enthalpy at 0 K: -19 kJ/mol of formula units. The calculated density comes out at 11.1 Mg/m³. As for the energy: -8.78 eV/atom.

---

(4)
Compound: U2FeRh
Source: Alexandria via LeMat-Bulk
Functional: PBE-GGA
Structure: relaxed

The space group is R-3m (No. 166, hexagonal axes) and the conventional cell measures 2.9521, 2.9521 and 28.1968 Å, with angles of 90.00, 90.00 and 120.00 degrees. Symmetry generates all atoms from U at (0.0000, 0.0000, 0.0906), Fe at (0.0000, 0.0000, 0.5000) and Rh at (0.0000, 0.0000, 0.0000).

The total moment is 4.92 μB per cell. As for the formation enthalpy at 0 K: 82 kJ/mol of formula units. The calculated density comes out at 14.9 Mg/m³. As for the energy: -9.38 eV/atom.

---

Ordered volume results: 24.1, 17.7, 14.1, 17.7; unit A^3/atom.